DFT (PBE) results for a relaxed Ta2TlAu crystal.

## Properties
- magnetic moment (μB per formula unit) = 0.0
- DFT formation energy (eV per formula unit) = 1.277

Structure (POSCAR):
```
Ta2TlAu
1.0
6.537 0.014 0.045
-2.604 4.580 -0.031
1.329 0.769 2.533
Au Ta Tl
1 2 1
direct
0.500 0.500 0.000
0.000 0.000 0.000
0.500 0.000 0.500
0.000 0.500 0.500
```